[1]
VASP calculation (PBE) on crystalline Tl2Ag3Te3 at its relaxed geometry.

Computed properties:
magnetization: 0.000 μB per atom
final energy: -47.10 eV per cell
density: 6.72 g cm⁻³
formation energy without anion corrections: -0.105 eV/atom
space group: No. 193

Lattice parameters (Å, degrees): 9.560 8.159 8.159 60.00 90.00 90.00
Positions (direct):
Te 0.750 0.000 0.332
Ag 0.750 0.334 0.000
Ag 0.750 0.666 0.334
Te 0.750 0.332 0.668
Te 0.750 0.668 0.000
Te 0.250 0.668 0.332
Tl 0.500 0.333 0.333
Ag 0.250 0.000 0.334
Ag 0.250 0.666 0.000
Te 0.250 0.332 0.000
Tl 0.500 0.667 0.667
Ag 0.750 0.000 0.666
Tl 0.000 0.333 0.333
Tl 0.000 0.667 0.667
Te 0.250 0.000 0.668
Ag 0.250 0.334 0.666



[2]
VASP calculation (PBE) on crystalline Sr2Ho2Mg15 at its relaxed geometry.

Computed properties:
magnetization: 0.000 μB per atom
final energy: -36.85 eV per cell
density: 2.79 g cm⁻³
calculated formation energy: -21.9 meV/atom
space group: No. 166

Lattice parameters (Å, degrees): 8.088 8.088 8.088 82.91 82.91 82.91
Positions (direct):
Mg 0.710 0.290 0.000
Mg 0.000 0.500 0.000
Mg 0.850 0.352 0.352
Sr 0.660 0.660 0.660
Mg 0.648 0.648 0.150
Mg 0.000 0.000 0.500
Mg 0.000 0.710 0.290
Mg 0.290 0.710 0.000
Sr 0.340 0.340 0.340
Mg 0.352 0.352 0.850
Ho 0.098 0.098 0.098
Mg 0.710 0.000 0.290
Mg 0.000 0.290 0.710
Mg 0.150 0.648 0.648
Ho 0.902 0.902 0.902
Mg 0.352 0.850 0.352
Mg 0.290 0.000 0.710
Mg 0.648 0.150 0.648
Mg 0.500 0.000 0.000



[3]
VASP calculation (PBE) on crystalline Ca3Ce5As8 at its relaxed geometry.

Computed properties:
magnetization: 0.138 μB per atom
final energy: -94.13 eV per cell
density: 5.48 g cm⁻³
calculated formation energy: -1328.9 meV/atom
space group: No. 166

Lattice parameters (Å, degrees): 8.492 8.492 8.454 59.85 59.85 60.00
Last column: magnetic moment on the atom in μB.
Positions (direct):
As 0.255 0.255 0.235  -0.02
Ca 0.500 0.000 0.500  0.00
As 0.258 0.750 0.242  -0.02
As 0.742 0.250 0.758  -0.02
As 0.250 0.250 0.758  -0.02
Ce 0.500 0.500 0.000  0.38
As 0.250 0.742 0.758  -0.02
As 0.750 0.750 0.242  -0.02
Ca 0.000 0.000 0.500  0.00
Ce 0.500 0.000 0.000  0.38
As 0.750 0.258 0.242  -0.02
Ce 0.500 0.500 0.500  0.58
Ca 0.000 0.500 0.500  0.00
Ce 0.000 0.000 0.000  0.57
Ce 0.000 0.500 0.000  0.38
As 0.745 0.745 0.765  -0.02



[4]
VASP calculation (PBE) on crystalline TlH2F2 at its relaxed geometry.

Computed properties:
magnetization: 0.000 μB per atom
final energy: -17.96 eV per cell
density: 4.56 g cm⁻³
space group: No. 164

Lattice parameters (Å, degrees): 2.953 5.897 5.897 120.00 90.00 90.00
Positions (direct):
F 0.247 0.333 0.667
H 0.572 0.333 0.667
Tl 0.000 0.000 0.000
F 0.753 0.667 0.333
H 0.428 0.667 0.333



[5]
VASP calculation (PBE) on crystalline Mn2Ru5 at its relaxed geometry.

Computed properties:
magnetization: 0.231 μB per atom
final energy: -129.13 eV per cell
density: 11.09 g cm⁻³
calculated formation energy: 22.2 meV/atom
space group: No. 15

Lattice parameters (Å, degrees): 4.635 5.008 9.104 80.77 90.00 117.57
Last column: magnetic moment on the atom in μB.
Positions (direct):
Mn 0.487 0.141 0.107  1.10
Ru 0.771 0.714 0.536  -0.13
Ru 0.207 0.583 0.676  -0.13
Mn 0.346 0.859 0.393  1.10
Ru 0.625 0.417 0.824  -0.13
Ru 0.077 0.000 0.750  -0.10
Ru 0.942 0.714 0.036  -0.13
Ru 0.793 0.417 0.324  -0.13
Ru 0.229 0.286 0.464  -0.13
Ru 0.923 0.000 0.250  -0.10
Mn 0.654 0.141 0.607  1.10
Ru 0.058 0.286 0.964  -0.13
Mn 0.513 0.859 0.893  1.10
Ru 0.375 0.583 0.176  -0.13



[6]
VASP calculation (PBE) on crystalline La4Er7Tm at its relaxed geometry.

Computed properties:
magnetization: 0.000 μB per atom
final energy: -52.77 eV per cell
density: 7.68 g cm⁻³
calculated formation energy: 279.4 meV/atom
space group: No. 12

Lattice parameters (Å, degrees): 5.909 11.905 6.703 85.82 63.85 75.63
Positions (direct):
Er 0.794 0.917 0.495
Er 0.353 0.514 0.779
Er 0.500 0.000 0.000
Er 0.647 0.486 0.221
La 0.359 0.776 0.507
Er 0.206 0.083 0.505
La 0.305 0.287 0.102
Tm 0.000 0.000 0.000
Er 0.968 0.374 0.691
La 0.695 0.713 0.898
Er 0.032 0.626 0.309
La 0.641 0.224 0.493



[7]
VASP calculation (PBE) on crystalline GdIn2Hg at its relaxed geometry.

Computed properties:
magnetization: 1.945 μB per atom
final energy: -20.80 eV per cell
density: 9.45 g cm⁻³
calculated formation energy: -234.1 meV/atom
space group: No. 123

Lattice parameters (Å, degrees): 3.727 3.727 7.432 90.00 90.00 90.00
Last column: magnetic moment on the atom in μB.
Positions (direct):
In 0.000 0.000 0.228  0.01
Gd 0.500 0.500 0.500  7.29
Hg 0.500 0.500 0.000  0.03
In 0.000 0.000 0.772  0.01



[8]
VASP calculation (PBE) on crystalline CdCo2Pb at its relaxed geometry.

Computed properties:
magnetization: 0.641 μB per atom
final energy: -16.97 eV per cell
density: 8.84 g cm⁻³
calculated formation energy: 466.1 meV/atom
space group: No. 12

Lattice parameters (Å, degrees): 5.010 5.010 6.335 51.17 51.17 44.68
Last column: magnetic moment on the atom in μB.
Positions (direct):
Co 0.998 0.998 0.846  1.34
Pb 0.250 0.250 0.250  -0.04
Cd 0.750 0.750 0.750  -0.03
Co 0.502 0.502 0.654  1.34



Among the records above, which one has the lowest final energy? Mn2Ru5



What is the formula in the first record? Tl2Ag3Te3



Among the records above, which one has the highest magnetization? GdIn2Hg



Which formula does entry 8 have? CdCo2Pb